A plane-wave DFT calculation with GGA-PBE was carried out for a relaxed CsNpInF6 crystal.

Results
- Size of the total moment: 6.00 μB/cell
- Formation energy from raw total energies: -2.9648 eV per atom
- Density of states at the Fermi level: 24.067 states/eV/cell

Unit cell a=6.8069 b=11.9009 c=5.6926 alpha=90.00 beta=90.14 gamma=90.00
With the nearest neighbours (Å) after each atom.
Space group C2 (No. 5)
Inequivalent atoms, fractional coordinates:
Cs: 0.0000 0.0000 0.0000 (multiplicity 2)  6 F 3.06-3.07
Np: 0.0000 0.6668 0.5000 (multiplicity 2)  6 F 2.17-2.18
In: 0.0000 0.3333 0.5000 (multiplicity 2)  6 F 2.74-2.79
F: 0.1259 0.5324 0.2898 (multiplicity 4)  1 Np 2.17
F: 0.1385 0.7979 0.2909 (multiplicity 4)  1 Np 2.18
F: 0.2283 0.1712 0.2959 (multiplicity 4)  1 Np 2.18

***

A plane-wave DFT calculation with GGA-PBE was carried out for a relaxed Cs2NpInF8 crystal.

Results
- Size of the total moment: 4.00 μB/cell
- Formation energy from raw total energies: -2.8884 eV per atom
- Density of states at the Fermi level: 22.602 states/eV/cell

Unit cell a=6.4999 b=6.4999 c=12.1371 alpha=90.00 beta=90.00 gamma=90.00
With the nearest neighbours (Å) after each atom.
Space group I-4m2 (No. 119)
Inequivalent atoms, fractional coordinates:
Cs: 0.0000 0.0000 0.0000 (multiplicity 2)  8 F 2.96
Cs: 0.0000 0.5000 0.2500 (multiplicity 2)  8 F 3.07
Np: 0.0000 0.5000 0.7500 (multiplicity 2)  8 F 2.22
In: 0.0000 0.0000 0.5000 (multiplicity 2)  8 F 2.90
F: 0.1929 0.2992 0.6445 (multiplicity 16)  1 Np 2.22

***

A plane-wave DFT calculation with GGA-PBE was carried out for a relaxed CsNpIn2F8 crystal.

Results
- Size of the total moment: 2.49 μB/cell
- Formation energy from raw total energies: -2.6860 eV per atom
- Density of states at the Fermi level: 6.888 states/eV/cell

Unit cell a=4.0806 b=6.9834 c=8.8263 alpha=97.77 beta=90.86 gamma=93.20
With the nearest neighbours (Å) after each atom.
Space group P-1 (No. 2)
Inequivalent atoms, fractional coordinates:
Cs: 0.0000 0.0000 0.0000 (multiplicity 1)  8 F 2.95-3.15
Np: 0.0000 0.0000 0.5000 (multiplicity 1)  4 F 2.10-2.27
In: 0.4818 0.5436 0.2189 (multiplicity 2)  2 F 2.25-2.43
F: 0.0089 0.1797 0.3281 (multiplicity 2)  1 Np 2.10
F: 0.0269 0.2225 0.7128 (multiplicity 2)  1 Np 2.27, 1 In 2.53
F: 0.4619 0.6907 0.0080 (multiplicity 2)  2 In 2.25-2.43
F: 0.4844 0.8283 0.4679 (multiplicity 2)  2 Np 2.36-2.37, 3 F 2.38-2.59

***

A plane-wave DFT calculation with GGA-PBE was carried out for a relaxed Cs2InOF6 crystal.

Results
- Size of the total moment: 6.00 μB/cell
- Formation energy from raw total energies: -1.9423 eV per atom
- Density of states at the Fermi level: 0.000 states/eV/cell

Unit cell a=6.2768 b=6.2768 c=9.4907 alpha=90.00 beta=90.00 gamma=90.00
With the nearest neighbours (Å) after each atom.
Space group I4/mmm (No. 139)
Inequivalent atoms, fractional coordinates:
Cs: 0.0000 0.5000 0.2500 (multiplicity 4)  12 F 3.15-3.25
In: 0.0000 0.0000 0.0000 (multiplicity 2)  6 F 2.09-2.12
O: 0.0000 0.0000 0.5000 (multiplicity 2)  4 F 2.32
F: 0.0000 0.0000 0.2203 (multiplicity 4)  1 In 2.09
F: 0.2391 0.2391 0.0000 (multiplicity 8)  1 In 2.12, 1 O 2.32

***

A plane-wave DFT calculation with GGA-PBE was carried out for a relaxed CsInO2F crystal.

Results
- Size of the total moment: 1.00 μB/cell
- Formation energy from raw total energies: -1.5023 eV per atom
- Density of states at the Fermi level: 3.285 states/eV/cell

Unit cell a=4.2868 b=4.2868 c=4.7434 alpha=90.00 beta=90.00 gamma=90.00
With the nearest neighbours (Å) after each atom.
Space group P4/mmm (No. 123)
Inequivalent atoms, fractional coordinates:
Cs: 0.0000 0.0000 0.0000 (multiplicity 1)  4 F 3.03, 8 O 3.20
In: 0.5000 0.5000 0.5000 (multiplicity 1)  4 O 2.14, 2 F 2.37
O: 0.0000 0.5000 0.5000 (multiplicity 2)  2 In 2.14
F: 0.5000 0.5000 0.0000 (multiplicity 1)  2 In 2.37

***

A plane-wave DFT calculation with GGA-PBE was carried out for a relaxed CsInO2F crystal.

Results
- Size of the total moment: 0.00 μB/cell
- Formation energy from raw total energies: -0.1927 eV per atom
- Density of states at the Fermi level: 3.966 states/eV/cell

Unit cell a=4.4053 b=4.4053 c=5.5364 alpha=90.00 beta=90.00 gamma=90.00
With the nearest neighbours (Å) after each atom.
Space group P4/mmm (No. 123)
Inequivalent atoms, fractional coordinates:
Cs: 0.0000 0.0000 0.0000 (multiplicity 1)  4 O 2.20
In: 0.5000 0.5000 0.5000 (multiplicity 1)  4 F 3.12
O: 0.0000 0.5000 0.0000 (multiplicity 2)  2 Cs 2.20
F: 0.0000 0.0000 0.5000 (multiplicity 1)  2 Cs 2.77

***

A plane-wave DFT calculation with GGA-PBE was carried out for a relaxed Cs2InOF crystal.

Results
- Size of the total moment: 1.71 μB/cell
- Formation energy from raw total energies: -0.6311 eV per atom
- Density of states at the Fermi level: 1.698 states/eV/cell

Unit cell a=5.4917 b=5.4917 c=6.2598 alpha=90.00 beta=90.00 gamma=90.00
With the nearest neighbours (Å) after each atom.
Space group P4/mmm (No. 123)
Inequivalent atoms, fractional coordinates:
Cs: 0.0000 0.5000 0.0000 (multiplicity 2)  2 F 2.75
In: 0.0000 0.0000 0.5000 (multiplicity 1)  4 O 3.88, 8 Cs 4.16
O: 0.5000 0.5000 0.5000 (multiplicity 1)  2 F 3.13
F: 0.5000 0.5000 0.0000 (multiplicity 1)  4 Cs 2.75

***

A plane-wave DFT calculation with GGA-PBE was carried out for a relaxed Cs2InPF6 crystal.

Results
- Size of the total moment: 0.00 μB/cell
- Formation energy from raw total energies: -2.2261 eV per atom
- Density of states at the Fermi level: 0.000 states/eV/cell

Unit cell a=9.3571 b=9.3571 c=9.3571 alpha=90.00 beta=90.00 gamma=90.00
With the nearest neighbours (Å) after each atom.
Space group Fm-3m (No. 225)
Inequivalent atoms, fractional coordinates:
Cs: 0.2500 0.2500 0.2500 (multiplicity 8)  12 F 3.33
In: 0.0000 0.0000 0.0000 (multiplicity 4)  6 F 2.68
P: 0.0000 0.0000 0.5000 (multiplicity 4)  6 F 2.00
F: 0.0000 0.0000 0.2861 (multiplicity 24)  1 P 2.00

***

A plane-wave DFT calculation with GGA-PBE was carried out for a relaxed CsPaInF6 crystal.

Results
- Size of the total moment: 1.35 μB/cell
- Formation energy from raw total energies: -3.1339 eV per atom
- Density of states at the Fermi level: 9.209 states/eV/cell

Unit cell a=7.5379 b=7.5379 c=8.1513 alpha=90.00 beta=90.00 gamma=120.00
With the nearest neighbours (Å) after each atom.
Space group P-31c (No. 163)
Inequivalent atoms, fractional coordinates:
Cs: 0.3333 0.6667 0.2500 (multiplicity 2)  12 F 3.26-3.36
Pa: 0.3333 0.6667 0.7500 (multiplicity 2)  6 F 2.17
In: 0.0000 0.0000 0.0000 (multiplicity 2)  6 F 2.98
F: 0.1043 0.4212 0.5988 (multiplicity 12)  1 Pa 2.17

***

A plane-wave DFT calculation with GGA-PBE was carried out for a relaxed CsInPb2F8 crystal.

Results
- Size of the total moment: 0.00 μB/cell
- Formation energy from raw total energies: -2.4739 eV per atom
- Density of states at the Fermi level: 0.000 states/eV/cell

Unit cell a=4.9053 b=5.9186 c=8.2041 alpha=92.66 beta=98.48 gamma=98.73
With the nearest neighbours (Å) after each atom.
Space group P-1 (No. 2)
Inequivalent atoms, fractional coordinates:
Cs: 0.0000 0.0000 0.0000 (multiplicity 1)  8 F 2.97-3.01
In: 0.0000 0.0000 0.5000 (multiplicity 1)  6 F 2.11-2.18
Pb: 0.4456 0.5077 0.7474 (multiplicity 2)  5 F 2.41-2.59
F: 0.0020 0.7379 0.3055 (multiplicity 2)  1 In 2.18, 1 Pb 2.41
F: 0.1370 0.7916 0.6874 (multiplicity 2)  1 In 2.11
F: 0.3867 0.2117 0.4973 (multiplicity 2)  1 In 2.11
F: 0.4455 0.7105 0.0170 (multiplicity 2)  2 Pb 2.41-2.47, 1 F 2.64

***

A plane-wave DFT calculation with GGA-PBE was carried out for a relaxed CsInPbF6 crystal.

Results
- Size of the total moment: 0.00 μB/cell
- Formation energy from raw total energies: -2.5697 eV per atom
- Density of states at the Fermi level: 0.000 states/eV/cell

Unit cell a=8.1296 b=8.2343 c=11.0506 alpha=90.00 beta=90.00 gamma=90.00
With the nearest neighbours (Å) after each atom.
Space group Imma (No. 74)
Inequivalent atoms, fractional coordinates:
Cs: 0.0000 0.2500 0.1022 (multiplicity 4)  9 F 3.13-3.38
In: 0.2500 0.2500 0.7500 (multiplicity 4)  6 F 2.09-2.14
Pb: 0.0000 0.0000 0.5000 (multiplicity 4)  6 F 2.41-2.63
F: 0.0000 0.2500 0.3858 (multiplicity 4)  2 Pb 2.41
F: 0.0000 0.2500 0.6907 (multiplicity 4)  2 In 2.14
F: 0.2273 0.0715 0.8831 (multiplicity 16)  1 In 2.09

***

A plane-wave DFT calculation with GGA-PBE was carried out for a relaxed CsInPdF6 crystal.

Results
- Size of the total moment: 0.08 μB/cell
- Formation energy from raw total energies: -2.0837 eV per atom

Unit cell a=5.8789 b=5.9245 c=6.1255 alpha=88.53 beta=89.21 gamma=61.64
With the nearest neighbours (Å) after each atom.
Space group P1 (No. 1)
Inequivalent atoms, fractional coordinates:
Cs: 0.0000 0.0000 0.0000 (multiplicity 1)  5 F 2.94-3.26
In: 0.6951 0.6594 0.4718 (multiplicity 1)  6 F 2.03-2.22
Pd: 0.2987 0.4272 0.4886 (multiplicity 1)  4 F 1.99-2.05
F: 0.0292 0.4198 0.6871 (multiplicity 1)  1 Pd 2.00, 1 In 2.22
F: 0.0350 0.4553 0.2621 (multiplicity 1)  1 Pd 2.04, 1 In 2.20
F: 0.4872 0.9197 0.2350 (multiplicity 1)  1 In 2.03
F: 0.5001 0.5245 0.7044 (multiplicity 1)  1 Pd 2.05, 1 In 2.18
F: 0.5700 0.4219 0.2883 (multiplicity 1)  1 Pd 1.99, 1 In 2.21
F: 0.6974 0.9444 0.6482 (multiplicity 1)  1 In 2.03